# 1
BaSmInGa | PBE-GGA | relaxed

Properties
Raw total energy, eV for the cell shown: -13.57
Energy relative to the elements, meV/atom: -290
Volume, Å³/f.u.: 124.9

Unit cell a=5.6114 b=5.6114 c=5.6114 alpha=60.00 beta=60.00 gamma=60.00
Atoms (fractional coordinates):
Ga: 0.0000 0.0000 0.0000
Ba: 0.7500 0.7500 0.7500
Sm: 0.2500 0.2500 0.2500
In: 0.5000 0.5000 0.5000


# 2
Ba2In4GaSn3 | PBE-GGA | relaxed

Properties
Raw total energy, eV for the cell shown: -33.21
Energy relative to the elements, meV/atom: -337
Volume, Å³/f.u.: 314.5

Unit cell a=5.2929 b=5.2929 c=11.2247 alpha=90.00 beta=90.00 gamma=90.00
Atoms (fractional coordinates):
Ba: 0.5000 0.0000 0.2592
Ba: 0.0000 0.5000 0.7408
In: 0.5000 0.5000 0.0000
In: 0.0000 0.0000 0.0000
In: 0.5000 0.0000 0.6156
In: 0.0000 0.5000 0.3844
Ga: 0.5000 0.5000 0.5000
Sn: 0.0000 0.0000 0.5000
Sn: 0.5000 0.0000 0.8725
Sn: 0.0000 0.5000 0.1275


# 3
Ba3InGa2Sn9 | PBE-GGA | relaxed

Properties
Raw total energy, eV for the cell shown: -52.71
Energy relative to the elements, meV/atom: -141
Volume, Å³/f.u.: 534.2

Unit cell a=6.9204 b=6.9204 c=12.8790 alpha=90.00 beta=90.00 gamma=120.00
Atoms (fractional coordinates):
Ba: 0.3333 0.6667 0.7502
Ba: 0.0000 0.0000 0.0000
Ba: 0.6667 0.3333 0.2498
In: 0.0000 0.0000 0.5000
Ga: 0.3333 0.6667 0.1632
Ga: 0.6667 0.3333 0.8368
Sn: 0.8115 0.1885 0.6551
Sn: 0.8115 0.6230 0.6551
Sn: 0.3770 0.1885 0.6551
Sn: 0.6230 0.8115 0.3449
Sn: 0.1885 0.3770 0.3449
Sn: 0.1885 0.8115 0.3449
Sn: 0.5000 0.0000 0.0000
Sn: 0.0000 0.5000 0.0000
Sn: 0.5000 0.5000 0.0000


# 4
Ba2In6GaSn | PBE-GGA | relaxed

Properties
Raw total energy, eV for the cell shown: -57.75
Energy relative to the elements, meV/atom: -157
Volume, Å³/f.u.: 331.8

Unit cell a=7.4759 b=7.4759 c=14.3718 alpha=74.92 beta=74.92 gamma=60.00
Atoms (fractional coordinates):
Ba: 0.8606 0.8606 0.4183
Ba: 0.1394 0.1394 0.5817
Ba: 0.6920 0.6920 0.9240
Ba: 0.3080 0.3080 0.0760
In: 0.9416 0.3562 0.3460
In: 0.3562 0.9416 0.3460
In: 0.3562 0.3562 0.3460
In: 0.0584 0.6438 0.6540
In: 0.6438 0.0584 0.6540
In: 0.6438 0.6438 0.6540
In: 0.7767 0.2005 0.8224
In: 0.2005 0.7767 0.8224
In: 0.2005 0.2005 0.8224
In: 0.2233 0.7995 0.1776
In: 0.7995 0.2233 0.1776
In: 0.7995 0.7995 0.1776
Ga: 0.5809 0.5809 0.2573
Ga: 0.4191 0.4191 0.7427
Sn: 0.0000 0.0000 0.0000
Sn: 0.5000 0.5000 0.5000


# 5
Ba2InGaSn6 | PBE-GGA | relaxed

Properties
Raw total energy, eV for the cell shown: -71.91
Energy relative to the elements, meV/atom: -233
Volume, Å³/f.u.: 331.7

Unit cell a=6.5918 b=11.2233 c=8.9662 alpha=90.00 beta=90.00 gamma=90.00
Atoms (fractional coordinates):
Ba: 0.5000 0.7292 0.2464
Ba: 0.0000 0.2708 0.7464
Ba: 0.5000 0.7292 0.7536
Ba: 0.0000 0.2708 0.2536
In: 0.5000 0.2781 0.5000
In: 0.0000 0.7219 0.0000
Ga: 0.0000 0.6905 0.5000
Ga: 0.5000 0.3095 0.0000
Sn: 0.5000 0.1342 0.2188
Sn: 0.5000 0.1342 0.7812
Sn: 0.0000 0.8658 0.2812
Sn: 0.0000 0.8658 0.7188
Sn: 0.2591 0.0089 0.5000
Sn: 0.7409 0.0089 0.5000
Sn: 0.2660 0.5024 0.5000
Sn: 0.7340 0.5024 0.5000
Sn: 0.7660 0.4976 0.0000
Sn: 0.2340 0.4976 0.0000
Sn: 0.2409 0.9911 0.0000
Sn: 0.7591 0.9911 0.0000


# 6
Ba2In4Ga3Sn | PBE-GGA | relaxed

Properties
Raw total energy, eV for the cell shown: -31.48
Energy relative to the elements, meV/atom: -360
Volume, Å³/f.u.: 284.0

Unit cell a=4.9442 b=4.9442 c=11.6161 alpha=90.00 beta=90.00 gamma=90.00
Atoms (fractional coordinates):
Ba: 0.5000 0.0000 0.2469
Ba: 0.0000 0.5000 0.7531
In: 0.5000 0.5000 0.0000
In: 0.0000 0.0000 0.0000
In: 0.5000 0.0000 0.6379
In: 0.0000 0.5000 0.3621
Ga: 0.0000 0.0000 0.5000
Ga: 0.5000 0.0000 0.8732
Ga: 0.0000 0.5000 0.1268
Sn: 0.5000 0.5000 0.5000


# 7
BaInGa2Sn | PBE-GGA | relaxed

Properties
Raw total energy, eV for the cell shown: -16.58
Energy relative to the elements, meV/atom: -372
Volume, Å³/f.u.: 139.4

Unit cell a=4.8220 b=5.1960 c=6.5981 alpha=113.19 beta=111.43 gamma=90.00
Atoms (fractional coordinates):
Ba: 0.4345 0.4345 0.8690
In: 0.1766 0.6766 0.3532
Ga: 0.6933 0.1933 0.3865
Ga: 0.0781 0.0781 0.1562
Sn: 0.8297 0.8297 0.6594


# 8
BaSrIn2Ga | PBE-GGA | relaxed

Properties
Raw total energy, eV for the cell shown: -9.81
Energy relative to the elements, meV/atom: 461
Volume, Å³/f.u.: 229.2

Unit cell a=6.2635 b=5.8422 c=6.2635 alpha=90.00 beta=90.00 gamma=90.00
Atoms (fractional coordinates):
Sr: 0.5000 0.5000 0.5000
Ba: 0.0000 0.0000 0.0000
Ga: 0.0000 0.5000 0.0000
In: 0.0000 0.0000 0.5000
In: 0.5000 0.0000 0.0000


# 9
Ba2Tl3In4Ga | PBE-GGA | relaxed

Properties
Raw total energy, eV for the cell shown: -27.69
Energy relative to the elements, meV/atom: -276
Volume, Å³/f.u.: 317.0

Unit cell a=5.1223 b=5.1223 c=12.0829 alpha=90.00 beta=90.00 gamma=90.00
Atoms (fractional coordinates):
Ba: 0.5000 0.0000 0.2596
Ba: 0.0000 0.5000 0.7404
Tl: 0.0000 0.0000 0.5000
Tl: 0.5000 0.0000 0.8618
Tl: 0.0000 0.5000 0.1382
In: 0.5000 0.5000 0.0000
In: 0.0000 0.0000 0.0000
In: 0.5000 0.0000 0.6201
In: 0.0000 0.5000 0.3799
Ga: 0.5000 0.5000 0.5000


# 10
BaTl2InGa | PBE-GGA | relaxed

Properties
Raw total energy, eV for the cell shown: -12.25
Energy relative to the elements, meV/atom: 34
Volume, Å³/f.u.: 183.2

Unit cell a=5.7944 b=5.4561 c=5.7944 alpha=90.00 beta=90.00 gamma=90.00
Atoms (fractional coordinates):
Tl: 0.0000 0.0000 0.5000
Tl: 0.5000 0.0000 0.0000
Ba: 0.5000 0.5000 0.5000
Ga: 0.0000 0.5000 0.0000
In: 0.0000 0.0000 0.0000